Record 1
Material: TaNi2As
Method: DFT, PBE
State: relaxed

Properties
Its formation energy is -104.8 meV per atom.

Unit cell a=4.368 b=4.368 c=4.678 alpha=98.88 beta=98.88 gamma=39.79
Positions (direct):
1 Ta 0.000 0.000 0.000
2 Ni 0.259 0.259 0.763
3 Ni 0.519 0.519 0.532
4 As 0.775 0.775 0.350

Record 2
Material: TaNi3As
Method: DFT, PBE
State: relaxed

Properties
Its energy above the most stable polymorph in this dataset is 0.727 eV per atom. Its formation energy is 1298.7 meV per atom.

Unit cell a=4.545 b=4.545 c=4.545 alpha=90.00 beta=90.00 gamma=90.00
Positions (direct):
1 Ta 0.000 0.000 0.000
2 Ni 0.000 0.000 0.500
3 Ni 0.000 0.500 0.000
4 Ni 0.500 0.000 0.000
5 As 0.500 0.500 0.500

Record 3
Material: TaNi2As
Method: DFT, PBE
State: relaxed

Properties
Its formation energy is -168.0 meV per atom.

Unit cell a=4.621 b=4.621 c=4.621 alpha=134.32 beta=126.30 gamma=73.10
Positions (direct):
1 Ta 0.000 0.000 0.000
2 Ni 0.444 0.444 0.000
3 Ni 0.719 0.219 0.500
4 As 0.249 0.749 0.500